# 1
YHf2Cl2 after structural relaxation. Source: Alexandria via LeMat-Bulk, functional GGA-PBE.

abc: 7.3163 7.3163 7.3163
angles: 146.47 146.47 48.15
With the nearest neighbours (Å) after each atom.
Element x y z (fractional)
Y: 0.0000 0.0000 0.0000  8 Hf 3.34
Hf: 0.3870 0.3870 0.0000  4 Cl 2.79, 1 Hf 3.02
Hf: 0.6130 0.6130 0.0000  4 Cl 2.79, 1 Hf 3.02
Cl: 0.2500 0.7500 0.5000  4 Hf 2.79, 4 Cl 2.98
Cl: 0.7500 0.2500 0.5000  4 Hf 2.79, 4 Cl 2.98

Results
- E_form (uncorrected): -25 kJ per mole of atoms

=====

# 2
Mg6InPb after structural relaxation. Source: Alexandria via LeMat-Bulk, functional GGA-PBE.

abc: 4.5573 4.5573 9.0086
angles: 90.00 90.00 90.00
With the nearest neighbours (Å) after each atom.
Element x y z (fractional)
Mg: 0.0000 0.0000 0.0000  8 Mg 3.17, 4 In 3.22
Mg: 0.0000 0.0000 0.5000  4 Pb 3.22, 8 Mg 3.24
Mg: 0.0000 0.5000 0.2448  2 In 3.17, 8 Mg 3.17-3.24, 2 Pb 3.24
Mg: 0.0000 0.5000 0.7552  2 In 3.17, 8 Mg 3.17-3.24, 2 Pb 3.24
Mg: 0.5000 0.0000 0.2448  2 In 3.17, 8 Mg 3.17-3.24, 2 Pb 3.24
Mg: 0.5000 0.0000 0.7552  2 In 3.17, 8 Mg 3.17-3.24, 2 Pb 3.24
In: 0.5000 0.5000 0.0000  12 Mg 3.17-3.22
Pb: 0.5000 0.5000 0.5000  12 Mg 3.22-3.24

Results
- Formation enthalpy at 0 K: -0.07 eV/atom

=====

# 3
Pm3MgCd5 after structural relaxation. Source: Alexandria via LeMat-Bulk, functional GGA-PBE.

abc: 9.1777 9.1777 6.4549
angles: 90.00 90.00 120.00
With the nearest neighbours (Å) after each atom.
Element x y z (fractional)
Pm: 0.0000 0.3479 0.2500  9 Cd 3.06-3.40
Pm: 0.0000 0.6521 0.7500  9 Cd 3.06-3.40
Pm: 0.3479 0.0000 0.2500  9 Cd 3.06-3.40
Pm: 0.3479 0.3479 0.7500  9 Cd 3.06-3.40
Pm: 0.6521 0.0000 0.7500  9 Cd 3.06-3.40
Pm: 0.6521 0.6521 0.2500  9 Cd 3.06-3.40
Mg: 0.0000 0.0000 0.0000  2 Mg 3.23, 6 Cd 3.32, 6 Pm 3.58
Mg: 0.0000 0.0000 0.5000  2 Mg 3.23, 6 Cd 3.32, 6 Pm 3.58
Cd: 0.0000 0.3157 0.7500  5 Pm 3.06-3.24, 2 Mg 3.32
Cd: 0.0000 0.6843 0.2500  5 Pm 3.06-3.24, 2 Mg 3.32
Cd: 0.3157 0.0000 0.7500  5 Pm 3.06-3.24, 2 Mg 3.32
Cd: 0.3157 0.3157 0.2500  5 Pm 3.06-3.24, 2 Mg 3.32
Cd: 0.3333 0.6667 0.0000  8 Cd 3.23-3.53, 6 Pm 3.40
Cd: 0.3333 0.6667 0.5000  8 Cd 3.23-3.53, 6 Pm 3.40
Cd: 0.6667 0.3333 0.0000  8 Cd 3.23-3.53, 6 Pm 3.40
Cd: 0.6667 0.3333 0.5000  8 Cd 3.23-3.53, 6 Pm 3.40
Cd: 0.6843 0.0000 0.2500  5 Pm 3.06-3.24, 2 Mg 3.32
Cd: 0.6843 0.6843 0.7500  5 Pm 3.06-3.24, 2 Mg 3.32

Results
- Formation enthalpy at 0 K: -0.28 eV/atom

=====

# 4
La12Pm5Y2 after structural relaxation. Source: Alexandria via LeMat-Bulk, functional GGA-PBE.

abc: 6.3532 10.9592 10.9732
angles: 66.07 79.38 79.34
With the nearest neighbours (Å) after each atom.
Element x y z (fractional)
La: 0.9997 0.1208 0.1204  4 Pm 3.45-3.63, 4 La 3.50-3.84, 2 Y 3.53
La: 0.0003 0.8792 0.8796  4 Pm 3.45-3.63, 4 La 3.50-3.84, 2 Y 3.53
La: 0.1992 0.0618 0.5459  5 La 3.46-3.71, 3 Pm 3.52-3.79, 1 Y 3.56
La: 0.1992 0.5454 0.0629  5 La 3.44-3.71, 3 Pm 3.52-3.80, 1 Y 3.57
La: 0.2718 0.4457 0.4457  6 La 3.59-3.99, 2 Y 3.70, 2 Pm 3.86-3.88
La: 0.3815 0.8515 0.3567  1 Y 3.42, 3 Pm 3.45-3.70, 5 La 3.46-3.80
La: 0.3824 0.3563 0.8532  1 Y 3.42, 5 La 3.44-3.80, 3 Pm 3.45-3.70
La: 0.6176 0.6437 0.1468  1 Y 3.42, 5 La 3.44-3.80, 3 Pm 3.45-3.70
La: 0.6185 0.1485 0.6433  1 Y 3.42, 3 Pm 3.45-3.70, 5 La 3.46-3.80
La: 0.7282 0.5543 0.5543  6 La 3.59-3.99, 2 Y 3.70, 2 Pm 3.86-3.88
La: 0.8008 0.4546 0.9371  5 La 3.44-3.71, 3 Pm 3.52-3.80, 1 Y 3.57
La: 0.8008 0.9382 0.4541  5 La 3.46-3.71, 3 Pm 3.52-3.79, 1 Y 3.56
Pm: 0.1476 0.6774 0.6777  6 La 3.45-3.86, 2 Pm 3.59-3.85
Pm: 0.4457 0.2140 0.2148  8 La 3.52-3.80, 3 Pm 3.59-3.88
Pm: 0.5000 0.0000 0.0000  6 La 3.45-3.57
Pm: 0.5543 0.7860 0.7852  8 La 3.52-3.80, 3 Pm 3.59-3.88
Pm: 0.8524 0.3226 0.3223  6 La 3.45-3.86, 2 Pm 3.59-3.85
Y: 0.0017 0.2294 0.7703  8 La 3.42-3.70
Y: 0.9983 0.7706 0.2297  8 La 3.42-3.70

Results
- Formation enthalpy at 0 K: 0.08 eV/atom
- Offset from the most stable computed form: 0.0 meV/atom

=====

Q: Number 4 is which compound?
A: La12Pm5Y2